Version 1
{
  "formula": "Nb3MoO",
  "functional": "PBE with a Hubbard U",
  "state": "optimized geometry",
  "crystal_system": "cubic",
  "space_group": "Pm-3m (221)",
  "m_tot_mub_per_cell": 0.904,
  "lattice": [[4.8364, 0.0000, 0.0000], [0.0000, 4.8364, 0.0000], [0.0000, 0.0000, 4.8364]],
  "species": ["Nb", "Nb", "Nb", "Mo", "O"],
  "frac_coords": [[0.0000, 0.0000, 0.5000], [0.0000, 0.5000, 0.0000], [0.5000, 0.0000, 0.0000], [0.0000, 0.0000, 0.0000], [0.5000, 0.5000, 0.5000]]
}

---

Version 2
{
  "formula": "Nb3MoO",
  "functional": "PBE with a Hubbard U",
  "state": "optimized geometry",
  "crystal_system": "cubic",
  "space_group": "Pm-3m (221)",
  "m_tot_mub_per_cell": 2.194,
  "lattice": [[4.3140, 0.0000, 0.0000], [0.0000, 4.3140, 0.0000], [0.0000, 0.0000, 4.3140]],
  "species": ["Nb", "Nb", "Nb", "Mo", "O"],
  "frac_coords": [[0.0000, 0.0000, 0.5000], [0.0000, 0.5000, 0.0000], [0.5000, 0.0000, 0.0000], [0.5000, 0.5000, 0.5000], [0.0000, 0.0000, 0.0000]]
}

---

Most favorable structure: version 2. The second most favorable one is 225.6 kJ/mol of atoms above it.

---

Version 1
{
  "formula": "NbMoP2O",
  "functional": "PBE with a Hubbard U",
  "state": "optimized geometry",
  "crystal_system": "tetragonal",
  "space_group": "P4/mmm (123)",
  "m_tot_mub_per_cell": 3.427,
  "lattice": [[4.9568, 0.0000, 0.0000], [0.0000, 4.9568, 0.0000], [0.0000, 0.0000, 3.8588]],
  "species": ["Nb", "Mo", "P", "P", "O"],
  "frac_coords": [[0.0000, 0.0000, 0.0000], [0.5000, 0.5000, 0.5000], [0.0000, 0.5000, 0.0000], [0.5000, 0.0000, 0.0000], [0.0000, 0.0000, 0.5000]]
}

---

Version 2
{
  "formula": "NbMoP2O",
  "functional": "PBE with a Hubbard U",
  "state": "optimized geometry",
  "crystal_system": "tetragonal",
  "space_group": "P4/mmm (123)",
  "m_tot_mub_per_cell": 2.834,
  "lattice": [[4.8768, 0.0000, 0.0000], [0.0000, 4.8768, 0.0000], [0.0000, 0.0000, 3.7140]],
  "species": ["Nb", "Mo", "P", "P", "O"],
  "frac_coords": [[0.0000, 0.0000, 0.0000], [0.5000, 0.5000, 0.5000], [0.0000, 0.5000, 0.5000], [0.5000, 0.0000, 0.5000], [0.5000, 0.5000, 0.0000]]
}

---

Most favorable structure: version 1. The second most favorable one is 35.8 kJ/mol of atoms above it.

---

Version 1
{
  "formula": "NbMoPO2",
  "functional": "PBE with a Hubbard U",
  "state": "optimized geometry",
  "crystal_system": "tetragonal",
  "space_group": "P4/mmm (123)",
  "m_tot_mub_per_cell": 3.775,
  "lattice": [[3.8442, 0.0000, 0.0000], [0.0000, 3.8442, 0.0000], [0.0000, 0.0000, 5.4617]],
  "species": ["Nb", "Mo", "P", "O", "O"],
  "frac_coords": [[0.0000, 0.0000, 0.0000], [0.5000, 0.5000, 0.5000], [0.5000, 0.5000, 0.0000], [0.0000, 0.5000, 0.5000], [0.5000, 0.0000, 0.5000]]
}

---

Version 2
{
  "formula": "NbMoPO2",
  "functional": "PBE with a Hubbard U",
  "state": "optimized geometry",
  "crystal_system": "tetragonal",
  "space_group": "P4/mmm (123)",
  "m_tot_mub_per_cell": 3.899,
  "lattice": [[3.9203, 0.0000, 0.0000], [0.0000, 3.9203, 0.0000], [0.0000, 0.0000, 5.3749]],
  "species": ["Nb", "Mo", "P", "O", "O"],
  "frac_coords": [[0.0000, 0.0000, 0.0000], [0.5000, 0.5000, 0.5000], [0.0000, 0.0000, 0.5000], [0.0000, 0.5000, 0.0000], [0.5000, 0.0000, 0.0000]]
}

---

Most favorable structure: version 2. The second most favorable one is 57.4 kJ/mol of atoms above it.